Material: NaZrCrO4
Method: DFT, GGA+U
State: relaxed Values from VASP.

The structure in Quantum ESPRESSO input format:
```
&SYSTEM
  ibrav = 0, nat = 14, ntyp = 4
/
ATOMIC_SPECIES
Na 22.99 Na.upf
Zr 91.22 Zr.upf
Cr 52.00 Cr.upf
O 16.00 O.upf
CELL_PARAMETERS angstrom
-3.131 3.276 4.453
3.131 -3.276 4.453
3.131 3.276 -4.453
ATOMIC_POSITIONS angstrom
Na 0.000 1.638 1.163
Na 3.131 1.638 3.290
Zr 3.131 0.000 0.000
Zr 0.000 0.000 4.453
Cr 1.565 1.638 -2.227
Cr 1.565 -1.638 2.227
O 3.131 -0.295 2.104
O 3.131 2.981 -2.104
O 1.764 1.638 -0.151
O 4.498 1.638 -0.151
O -1.367 1.638 4.604
O 1.367 1.638 4.604
O 0.000 0.295 6.557
O 0.000 3.571 2.349
```

Properties
The final energy comes out at -108.8 eV/cell. Its symmetry is Imma.